# 1
A plane-wave DFT calculation with PBE was carried out for BeTc2 after structural relaxation.

* formation energy from the elements: 0.02 eV/atom
* total magnetization: 0.00 μB/cell
* VASP energy: -8.13 eV per atom
* relative energy among the computed polymorphs: 28.2 kJ per mole of atoms

a = 4.606 Å, b = 4.606 Å, c = 6.040 Å
α = 99.46°, β = 99.46°, γ = 37.40°
Fractional coordinates of all 6 atoms:
Be: 0.000 0.000 0.000
Be: 0.749 0.749 0.432
Tc: 0.067 0.067 0.620
Tc: 0.353 0.353 0.750
Tc: 0.439 0.439 0.271
Tc: 0.710 0.710 0.032

---

# 2
A plane-wave DFT calculation with PBE was carried out for KMnBe2 after structural relaxation.

* formation energy from the elements: 1.25 eV/atom
* total magnetization: 3.49 μB/cell
* VASP energy: -3.18 eV per atom
* relative energy among the computed polymorphs: 76.1 kJ per mole of atoms

a = 4.652 Å, b = 4.652 Å, c = 4.652 Å
α = 60.00°, β = 60.00°, γ = 60.00°
Fractional coordinates of all 4 atoms:
K: 0.000 0.000 0.000
Mn: 0.500 0.500 0.500
Be: 0.250 0.250 0.250
Be: 0.750 0.750 0.750

---

# 3
A plane-wave DFT calculation with PBE was carried out for CeHoGe after structural relaxation.

* formation energy from the elements: -0.32 eV/atom
* total magnetization: 1.21 μB/cell
* VASP energy: -5.36 eV per atom

a = 4.757 Å, b = 4.757 Å, c = 4.130 Å
α = 90.00°, β = 90.00°, γ = 120.00°
Fractional coordinates of all 3 atoms:
Ce: 0.000 0.000 0.000
Ho: 0.667 0.333 0.470
Ge: 0.333 0.667 0.613

---

# 4
A plane-wave DFT calculation with PBE was carried out for NdSm2Dy2Er after structural relaxation.

* formation energy from the elements: 0.27 eV/atom
* total magnetization: 0.00 μB/cell
* VASP energy: -4.39 eV per atom

a = 6.624 Å, b = 17.906 Å, c = 3.399 Å
α = 90.00°, β = 90.00°, γ = 90.00°
Fractional coordinates of all 12 atoms:
Nd: 0.000 0.000 0.000
Nd: 0.500 0.500 0.500
Sm: 0.232 0.316 0.000
Sm: 0.268 0.816 0.500
Sm: 0.732 0.184 0.500
Sm: 0.768 0.684 0.000
Dy: 0.231 0.147 0.500
Dy: 0.269 0.647 0.000
Dy: 0.731 0.353 0.000
Dy: 0.769 0.853 0.500
Er: 0.000 0.500 0.000
Er: 0.500 0.000 0.500

---

# 5
A plane-wave DFT calculation with PBE was carried out for Ba6Ir2Au after structural relaxation.

* formation energy from the elements: -0.26 eV/atom
* total magnetization: 0.00 μB/cell
* VASP energy: -3.87 eV per atom

a = 7.862 Å, b = 7.862 Å, c = 7.561 Å
α = 90.00°, β = 90.00°, γ = 120.00°
Fractional coordinates of all 9 atoms:
Ba: 0.000 0.347 0.228
Ba: 0.000 0.653 0.772
Ba: 0.347 0.000 0.228
Ba: 0.347 0.347 0.772
Ba: 0.653 0.000 0.772
Ba: 0.653 0.653 0.228
Ir: 0.333 0.667 0.000
Ir: 0.667 0.333 0.000
Au: 0.000 0.000 0.500

---

# 6
A plane-wave DFT calculation with PBE was carried out for Y2TmF after structural relaxation.

* total magnetization: 0.00 μB/cell
* VASP energy: -5.96 eV per atom
* E_form (uncorrected): -26.275 kcal/mol of atoms

a = 8.707 Å, b = 8.707 Å, c = 8.707 Å
α = 24.35°, β = 24.35°, γ = 24.35°
Fractional coordinates of all 4 atoms:
Y: 0.224 0.224 0.224
Y: 0.776 0.776 0.776
Tm: 0.000 0.000 0.000
F: 0.500 0.500 0.500

---

# 7
A plane-wave DFT calculation with PBE was carried out for Cs2MgBiO4 after structural relaxation.

* total magnetization: 1.94 μB/cell
* VASP energy: -4.79 eV per atom
* E_form (uncorrected): -32.474 kcal/mol of atoms

a = 12.671 Å, b = 11.087 Å, c = 7.363 Å
α = 84.17°, β = 60.52°, γ = 35.32°
Fractional coordinates of all 16 atoms:
Cs: 0.050 0.050 0.700
Cs: 0.300 0.300 0.950
Cs: 0.700 0.700 0.050
Cs: 0.950 0.950 0.300
Mg: 0.125 0.125 0.125
Mg: 0.875 0.875 0.875
Bi: 0.375 0.375 0.375
Bi: 0.625 0.625 0.625
O: 0.024 0.317 0.393
O: 0.234 0.607 0.683
O: 0.317 0.024 0.766
O: 0.393 0.766 0.024
O: 0.607 0.234 0.976
O: 0.683 0.976 0.234
O: 0.766 0.393 0.317
O: 0.976 0.683 0.607

---

Which formula does entry 7 have?
Cs2MgBiO4